Entry 1:
ThTaPt | PBE | relaxed

a = 4.753 Å, b = 4.753 Å, c = 4.753 Å
α = 60.00°, β = 60.00°, γ = 60.00°
Fractional positions:
Pt: 0.000 0.000 0.000
Ta: 0.250 0.250 0.250
Th: 0.750 0.750 0.750

Volume (Å³/atom): 25.31
Energy of formation (eV per atom): 0.0532
Magnetization (Bohr magnetons per cell): 0.81
Space-group type: No. 216

=====

Entry 2:
Be17Nb2 | PBE | relaxed

a = 5.559 Å, b = 5.559 Å, c = 5.559 Å
α = 83.07°, β = 96.93°, γ = 96.93°
Fractional positions:
Be: 0.500 0.500 0.000
Be: 0.847 0.661 0.153
Be: 0.339 0.153 0.153
Be: 0.500 0.794 0.206
Be: 0.206 0.500 0.206
Be: 0.153 0.847 0.339
Be: 0.599 0.401 0.401
Be: 0.500 0.000 0.500
Be: 0.794 0.794 0.500
Be: 0.000 0.500 0.500
Be: 0.206 0.206 0.500
Be: 0.401 0.599 0.599
Be: 0.847 0.153 0.661
Be: 0.500 0.206 0.794
Be: 0.794 0.500 0.794
Be: 0.153 0.339 0.847
Be: 0.661 0.847 0.847
Nb: 0.840 0.160 0.160
Nb: 0.160 0.840 0.840

Volume (Å³/atom): 8.86
Magnetization (Bohr magnetons per cell): 0.00
Space-group type: No. 166
Final energy (eV per atom): -4.618

=====

Entry 3:
ReAg2 | PBE | relaxed

a = 4.671 Å, b = 4.671 Å, c = 2.634 Å
α = 90.00°, β = 90.00°, γ = 120.00°
Last column: magnetic moment on the atom in μB.
Fractional positions:
Ag: 0.333 0.667 0.419  0.07
Ag: 0.667 0.333 0.581  0.07
Re: 0.000 0.000 0.000  1.24

Volume (Å³/atom): 16.60
Relative energy among the computed polymorphs (eV per atom): 0.000
Energy of formation (eV per atom): 0.8622
Magnetization (Bohr magnetons per cell): 1.46
Space-group type: No. 164

=====

Entry 4:
HfRe2Sb | PBE | relaxed

a = 4.647 Å, b = 4.647 Å, c = 4.647 Å
α = 60.00°, β = 60.00°, γ = 60.00°
Last column: magnetic moment on the atom in μB.
Fractional positions:
Hf: 0.250 0.250 0.250  -0.01
Re: 0.000 0.000 0.000  0.24
Re: 0.750 0.750 0.750  0.02
Sb: 0.500 0.500 0.500  0.01

Volume (Å³/atom): 17.74
Magnetization (Bohr magnetons per cell): 0.29
Space-group type: No. 216
Final energy (eV per atom): -9.280

=====

Entry 5:
PaBeZn | PBE | relaxed

a = 4.414 Å, b = 4.414 Å, c = 4.414 Å
α = 60.00°, β = 60.00°, γ = 60.00°
Last column: magnetic moment on the atom in μB.
Fractional positions:
Be: 0.250 0.250 0.250  0.00
Pa: 0.750 0.750 0.750  0.52
Zn: 0.000 0.000 0.000  0.01

Volume (Å³/atom): 20.27
Relative energy among the computed polymorphs (eV per atom): 0.222
Magnetization (Bohr magnetons per cell): 0.69
Space-group type: No. 216

=====

Entry 6:
SmYCo2Sn | PBE | relaxed

a = 3.894 Å, b = 7.196 Å, c = 7.196 Å
α = 31.07°, β = 90.00°, γ = 90.00°
Last column: magnetic moment on the atom in μB.
Fractional positions:
Co: 0.500 0.205 0.205  0.83
Co: 0.500 0.797 0.797  0.84
Sm: 0.000 0.637 0.637  -0.09
Sn: 0.500 0.998 0.998  -0.02
Y: 0.000 0.364 0.364  -0.10

Volume (Å³/atom): 20.81
Magnetization (Bohr magnetons per cell): 1.29
Space-group type: No. 38
Final energy (eV per atom): -6.279

=====

Entry 7:
PrNdP2Os2Se2 | PBE | relaxed

a = 4.123 Å, b = 4.123 Å, c = 9.598 Å
α = 90.00°, β = 90.00°, γ = 90.00°
Fractional positions:
Nd: 0.000 0.000 0.235
Os: 0.500 0.000 0.499
Os: 0.000 0.500 0.499
P: 0.500 0.500 0.374
P: 0.000 0.000 0.623
Pr: 0.500 0.500 0.766
Se: 0.500 0.000 0.002
Se: 0.000 0.500 0.002

Volume (Å³/atom): 20.40
Magnetization (Bohr magnetons per cell): 0.02
Space-group type: No. 99
Final energy (eV per atom): -7.151

=====

Entry 8:
BiPt | PBE | relaxed

a = 3.692 Å, b = 3.692 Å, c = 3.898 Å
α = 90.00°, β = 90.00°, γ = 120.00°
Fractional positions:
Bi: 0.667 0.333 0.750
Pt: 0.333 0.667 0.250

Volume (Å³/atom): 23.01
Magnetization (Bohr magnetons per cell): 0.00
Space-group type: No. 187
Final energy (eV per atom): -5.016

=====

Entry 9:
NiAs | PBE | relaxed

a = 4.164 Å, b = 3.010 Å, c = 4.511 Å
α = 90.00°, β = 90.00°, γ = 90.00°
Fractional positions:
As: 0.250 0.000 0.244
As: 0.750 0.000 0.756
Ni: 0.750 0.500 0.312
Ni: 0.250 0.500 0.688

Volume (Å³/atom): 14.14
Magnetization (Bohr magnetons per cell): 0.03
Space-group type: No. 51
Final energy (eV per atom): -5.128

=====

Entry 10:
Na3NbH6 | PBE | relaxed

a = 5.607 Å, b = 5.607 Å, c = 5.607 Å
α = 60.00°, β = 60.00°, γ = 60.00°
Last column: magnetic moment on the atom in μB.
Fractional positions:
H: 0.762 0.238 0.238  -0.01
H: 0.238 0.762 0.238  -0.01
H: 0.762 0.762 0.238  -0.01
H: 0.238 0.238 0.762  -0.01
H: 0.762 0.238 0.762  -0.01
H: 0.238 0.762 0.762  -0.01
Na: 0.250 0.250 0.250  0.02
Na: 0.500 0.500 0.500  -0.01
Na: 0.750 0.750 0.750  0.02
Nb: 0.000 0.000 0.000  1.46

Volume (Å³/atom): 12.46
Magnetization (Bohr magnetons per cell): 2.00
Space-group type: No. 225
Final energy (eV per atom): -3.396

=====

Entry 11:
NdTaAsO | PBE | relaxed

a = 4.666 Å, b = 6.211 Å, c = 5.982 Å
α = 90.00°, β = 90.00°, γ = 90.00°
Fractional positions:
As: 0.000 0.256 0.439
As: 0.000 0.744 0.939
Nd: 0.000 0.738 0.445
Nd: 0.000 0.262 0.945
O: 0.500 0.821 0.347
O: 0.500 0.179 0.847
Ta: 0.500 0.899 0.023
Ta: 0.500 0.101 0.523

Volume (Å³/atom): 21.67
Relative energy among the computed polymorphs (eV per atom): 0.473
Magnetization (Bohr magnetons per cell): 0.05
Space-group type: No. 26

=====

Entry 12:
CsSmTmTe3 | PBE | relaxed

a = 9.058 Å, b = 9.058 Å, c = 12.048 Å
α = 90.00°, β = 90.00°, γ = 149.53°
Fractional positions:
Cs: 0.242 0.758 0.250
Cs: 0.758 0.242 0.750
Sm: 0.500 0.500 0.000
Sm: 0.500 0.500 0.500
Te: 0.878 0.122 0.047
Te: 0.562 0.438 0.250
Te: 0.878 0.122 0.453
Te: 0.122 0.878 0.547
Te: 0.438 0.562 0.750
Te: 0.122 0.878 0.953
Tm: 0.965 0.035 0.250
Tm: 0.035 0.965 0.750

Volume (Å³/atom): 41.78
Magnetization (Bohr magnetons per cell): 0.01
Space-group type: No. 63
Final energy (eV per atom): -4.499

=====

Entry 13:
ErPIrO | PBE | relaxed

a = 4.621 Å, b = 4.239 Å, c = 6.287 Å
α = 90.00°, β = 90.00°, γ = 90.00°
Fractional positions:
Er: 0.500 0.207 0.090
Er: 0.500 0.793 0.590
Ir: 0.000 0.329 0.437
Ir: 0.000 0.671 0.937
O: 0.500 0.309 0.438
O: 0.500 0.691 0.938
P: 0.000 0.829 0.288
P: 0.000 0.171 0.788

Volume (Å³/atom): 15.39
Relative energy among the computed polymorphs (eV per atom): 0.540
Magnetization (Bohr magnetons per cell): 0.00
Space-group type: No. 26

=====

Entry 14:
ZnCdTeO | PBE | relaxed

a = 6.465 Å, b = 7.720 Å, c = 7.645 Å
α = 90.00°, β = 90.00°, γ = 90.00°
Fractional positions:
Cd: 0.222 0.243 0.097
Cd: 0.778 0.743 0.403
Cd: 0.278 0.757 0.597
Cd: 0.722 0.257 0.903
O: 0.541 0.176 0.128
O: 0.459 0.676 0.372
O: 0.959 0.824 0.628
O: 0.041 0.324 0.872
Te: 0.002 0.905 0.127
Te: 0.998 0.405 0.373
Te: 0.498 0.095 0.627
Te: 0.502 0.595 0.873
Zn: 0.337 0.720 0.155
Zn: 0.663 0.220 0.345
Zn: 0.163 0.280 0.655
Zn: 0.837 0.780 0.845

Volume (Å³/atom): 23.85
Relative energy among the computed polymorphs (eV per atom): 0.121
Space-group type: No. 19

=====

Entry 15:
ZnAgTeO | PBE | relaxed

a = 4.186 Å, b = 4.186 Å, c = 8.165 Å
α = 90.00°, β = 90.00°, γ = 90.00°
Fractional positions:
Ag: 0.750 0.250 0.000
Ag: 0.250 0.750 0.000
O: 0.750 0.750 0.457
O: 0.250 0.250 0.543
Te: 0.250 0.250 0.309
Te: 0.750 0.750 0.691
Zn: 0.750 0.750 0.222
Zn: 0.250 0.250 0.778

Volume (Å³/atom): 17.89
Relative energy among the computed polymorphs (eV per atom): 0.375
Space-group type: No. 129

=====

Entry 16:
LiScSiNi | PBE | relaxed

a = 4.358 Å, b = 4.358 Å, c = 4.358 Å
α = 60.00°, β = 60.00°, γ = 60.00°
Fractional positions:
Li: 0.750 0.750 0.750
Ni: 0.000 0.000 0.000
Sc: 0.250 0.250 0.250
Si: 0.500 0.500 0.500

Volume (Å³/atom): 14.63
Relative energy among the computed polymorphs (eV per atom): 0.283
Magnetization (Bohr magnetons per cell): 0.00
Space-group type: No. 216

=====

Entry 17:
YPu2Co9 | PBE | relaxed

a = 8.491 Å, b = 8.491 Å, c = 8.491 Å
α = 32.44°, β = 32.44°, γ = 32.44°
Fractional positions:
Co: 0.582 0.582 0.085
Co: 0.333 0.333 0.333
Co: 0.915 0.418 0.418
Co: 0.418 0.915 0.418
Co: 0.500 0.500 0.500
Co: 0.582 0.085 0.582
Co: 0.085 0.582 0.582
Co: 0.667 0.667 0.667
Co: 0.418 0.418 0.915
Pu: 0.145 0.145 0.145
Pu: 0.855 0.855 0.855
Y: 0.000 0.000 0.000

Volume (Å³/atom): 13.05
Energy of formation (eV per atom): 0.0653
Magnetization (Bohr magnetons per cell): 0.03
Space-group type: No. 166

=====

Entry 18:
K2LiAuF6 | PBE | relaxed

a = 10.291 Å, b = 10.291 Å, c = 10.291 Å
α = 32.08°, β = 32.08°, γ = 32.08°
Fractional positions:
Au: 0.000 0.000 0.000
Au: 0.500 0.500 0.500
F: 0.622 0.622 0.118
F: 0.695 0.215 0.215
F: 0.215 0.695 0.215
F: 0.785 0.785 0.305
F: 0.882 0.378 0.378
F: 0.378 0.882 0.378
F: 0.118 0.622 0.622
F: 0.622 0.118 0.622
F: 0.215 0.215 0.695
F: 0.785 0.305 0.785
F: 0.305 0.785 0.785
F: 0.378 0.378 0.882
K: 0.124 0.124 0.124
K: 0.288 0.288 0.288
K: 0.712 0.712 0.712
K: 0.876 0.876 0.876
Li: 0.410 0.410 0.410
Li: 0.590 0.590 0.590

Volume (Å³/atom): 13.65
Relative energy among the computed polymorphs (eV per atom): 0.083
Space-group type: No. 166

=====

Entry 19:
Li4NbGaO6 | PBE | relaxed

a = 5.135 Å, b = 5.135 Å, c = 5.137 Å
α = 99.70°, β = 99.70°, γ = 119.91°
Fractional positions:
Ga: 0.833 0.167 0.000
Li: 0.501 0.499 0.000
Li: 0.992 0.008 0.500
Li: 0.661 0.339 0.500
Li: 0.345 0.655 0.500
Nb: 0.168 0.832 0.000
O: 0.930 0.578 0.233
O: 0.579 0.930 0.233
O: 0.226 0.227 0.236
O: 0.773 0.774 0.764
O: 0.070 0.421 0.767
O: 0.422 0.070 0.767

Volume (Å³/atom): 9.21
Magnetization (Bohr magnetons per cell): 0.00
Space-group type: No. 5
Final energy (eV per atom): -6.400

=====

Entry 20:
AgSe | PBE | relaxed

a = 4.181 Å, b = 4.181 Å, c = 4.181 Å
α = 60.00°, β = 60.00°, γ = 60.00°
Fractional positions:
Ag: 0.000 0.000 0.000
Se: 0.250 0.250 0.250

Volume (Å³/atom): 25.85
Space-group type: No. 216
Final energy (eV per atom): -3.070

=====

Entry 21:
ZrBeHgPd | PBE | relaxed

a = 4.600 Å, b = 4.600 Å, c = 4.600 Å
α = 60.00°, β = 60.00°, γ = 60.00°
Fractional positions:
Be: 0.750 0.750 0.750
Hg: 0.000 0.000 0.000
Pd: 0.500 0.500 0.500
Zr: 0.250 0.250 0.250

Volume (Å³/atom): 17.21
Relative energy among the computed polymorphs (eV per atom): 0.038
Magnetization (Bohr magnetons per cell): 0.00
Space-group type: No. 216

=====

Entry 22:
NaCuH3 | PBE | relaxed

a = 3.461 Å, b = 3.461 Å, c = 3.461 Å
α = 90.00°, β = 90.00°, γ = 90.00°
Fractional positions:
Cu: 0.000 0.000 0.000
H: 0.500 0.000 0.000
H: 0.000 0.500 0.000
H: 0.000 0.000 0.500
Na: 0.500 0.500 0.500

Volume (Å³/atom): 8.29
Relative energy among the computed polymorphs (eV per atom): 0.028
Space-group type: No. 221

=====

Entry 23:
BaFe2Tc | PBE | relaxed

a = 4.668 Å, b = 4.668 Å, c = 4.668 Å
α = 60.00°, β = 60.00°, γ = 60.00°
Last column: magnetic moment on the atom in μB.
Fractional positions:
Ba: 0.750 0.750 0.750  -0.07
Fe: 0.250 0.250 0.250  2.90
Fe: 0.500 0.500 0.500  2.63
Tc: 0.000 0.000 0.000  1.18

Volume (Å³/atom): 17.98
Magnetization (Bohr magnetons per cell): 6.57
Space-group type: No. 216
Final energy (eV per atom): -6.018

=====

Entry 24:
LaNdAg2Bi2P2 | PBE | relaxed

a = 4.288 Å, b = 4.288 Å, c = 10.659 Å
α = 90.00°, β = 90.00°, γ = 90.00°
Fractional positions:
Ag: 0.500 0.000 0.998
Ag: 0.000 0.500 0.998
Bi: 0.500 0.000 0.504
Bi: 0.000 0.500 0.504
La: 0.000 0.000 0.241
Nd: 0.500 0.500 0.760
P: 0.500 0.500 0.160
P: 0.000 0.000 0.837

Volume (Å³/atom): 24.50
Magnetization (Bohr magnetons per cell): 0.00
Space-group type: No. 99
Final energy (eV per atom): -4.911

=====

Entry 25:
TmHfBi | PBE | relaxed

a = 4.949 Å, b = 4.949 Å, c = 4.949 Å
α = 60.00°, β = 60.00°, γ = 60.00°
Last column: magnetic moment on the atom in μB.
Fractional positions:
Bi: 0.000 0.000 0.000  0.00
Hf: 0.250 0.250 0.250  0.34
Tm: 0.750 0.750 0.750  0.19

Volume (Å³/atom): 28.57
Relative energy among the computed polymorphs (eV per atom): 0.000
Magnetization (Bohr magnetons per cell): 0.75
Space-group type: No. 216